1.
Material: K2In4AgPd
Method: DFT, PBE
State: optimized geometry

abc: 8.126 6.130 6.130
angles: 45.09 90.00 90.00
Fractional positions:
1 In 0.313 0.155 0.155
2 Pd 0.500 0.720 0.720
3 K 0.000 0.558 0.558
4 In 0.202 0.845 0.845
5 K 0.500 0.443 0.443
6 In 0.687 0.155 0.155
7 Ag 0.000 0.277 0.277
8 In 0.798 0.845 0.845

Output
For the total energy, the calculation gives -2.843 eV per atom. As for the space group: No. 38.


2.
Material: LaPrZn2As2O2
Method: DFT, PBE
State: optimized geometry

abc: 4.078 4.078 9.018
angles: 90.00 90.00 90.00
Fractional positions:
1 O 0.000 0.500 0.000
2 La 0.500 0.500 0.866
3 As 0.500 0.500 0.325
4 Pr 0.000 0.000 0.134
5 O 0.500 0.000 0.000
6 As 0.000 0.000 0.674
7 Zn 0.500 0.000 0.500
8 Zn 0.000 0.500 0.500

Output
For the total energy, the calculation gives -5.765 eV per atom. As for the space group: No. 99.


3.
Material: Al2Co2Mo3
Method: DFT, PBE
State: optimized geometry

abc: 6.659 6.659 6.659
angles: 37.13 37.13 37.13
Fractional positions:
1 Al 0.769 0.769 0.769
2 Mo 0.346 0.346 0.346
3 Co 0.483 0.483 0.483
4 Co 0.052 0.052 0.052
5 Mo 0.625 0.625 0.625
6 Al 0.189 0.189 0.189
7 Mo 0.913 0.913 0.913

Output
For the total energy, the calculation gives -7.913 eV per atom. As for the space group: No. 160.


4.
Material: TbIrO3
Method: DFT, PBE
State: optimized geometry

abc: 5.563 5.563 5.563
angles: 121.43 121.43 87.54
Fractional positions:
1 Tb 0.750 0.250 0.500
2 O 0.337 0.163 0.500
3 O 0.250 0.250 0.000
4 Ir 0.500 0.500 0.000
5 O 0.163 0.663 0.826
6 O 0.837 0.337 0.174
7 O 0.663 0.837 0.500
8 O 0.750 0.750 0.000
9 Ir 0.000 0.000 0.000
10 Tb 0.250 0.750 0.500

Output
For the total energy, the calculation gives -7.421 eV per atom. As for the space group: No. 140.


5.
Material: AcCdPt
Method: DFT, PBE
State: optimized geometry

abc: 7.692 4.396 9.094
angles: 90.00 90.00 90.00
Fractional positions:
1 Ac 0.951 0.250 0.183
2 Cd 0.370 0.250 0.943
3 Cd 0.630 0.750 0.057
4 Cd 0.870 0.250 0.557
5 Pt 0.258 0.250 0.630
6 Cd 0.130 0.750 0.443
7 Ac 0.451 0.250 0.317
8 Ac 0.049 0.750 0.817
9 Pt 0.242 0.750 0.130
10 Pt 0.758 0.250 0.870
11 Ac 0.549 0.750 0.683
12 Pt 0.742 0.750 0.370

Output
The formation energy is -245 kJ/mol of formula units. For the total energy, the calculation gives -4.534 eV per atom. As for the space group: No. 62.


6.
Material: NaErNiTe3
Method: DFT, PBE
State: optimized geometry

abc: 8.118 8.118 10.495
angles: 90.00 90.00 29.33
Fractional positions:
1 Te 0.092 0.092 0.250
2 Te 0.629 0.629 0.587
3 Er 0.000 0.000 0.000
4 Te 0.629 0.629 0.913
5 Te 0.908 0.908 0.750
6 Te 0.371 0.371 0.413
7 Ni 0.510 0.510 0.750
8 Te 0.371 0.371 0.087
9 Na 0.752 0.752 0.250
10 Na 0.248 0.248 0.750
11 Ni 0.490 0.490 0.250
12 Er 0.000 0.000 0.500

Output
For the total energy, the calculation gives -4.297 eV per atom. As for the space group: No. 63.